! Nb2V2Cd, optimized geometry, DFT PBE; values from VASP
! Space group: P4/mbm (127)
! Energy relative to the elements in eV/atom: 0.241
! Energy in eV per atom: -7.6172
&SYSTEM
  ibrav = 0, nat = 10, ntyp = 3
/
ATOMIC_SPECIES
V 50.94 V.upf
Cd 112.41 Cd.upf
Nb 92.91 Nb.upf
CELL_PARAMETERS angstrom
7.111 0.000 0.000
0.000 7.111 0.000
0.000 0.000 3.398
ATOMIC_POSITIONS crystal
V 0.117 0.383 0.000
V 0.383 0.883 0.000
V 0.883 0.617 0.000
V 0.617 0.117 0.000
Cd 0.000 0.000 0.000
Cd 0.500 0.500 0.000
Nb 0.678 0.822 0.500
Nb 0.178 0.678 0.500
Nb 0.322 0.178 0.500
Nb 0.822 0.322 0.500



! RbZn2Ga2, optimized geometry, DFT PBE; values from VASP
! Space group: I4/mmm (139)
! Energy relative to the elements in eV/atom: 0.022
! Energy in eV per atom: -1.8918
! Relative energy among the computed polymorphs in meV/atom: 11
&SYSTEM
  ibrav = 0, nat = 5, ntyp = 3
/
ATOMIC_SPECIES
Rb 85.47 Rb.upf
Ga 69.72 Ga.upf
Zn 65.41 Zn.upf
CELL_PARAMETERS angstrom
4.535 0.000 0.000
0.000 4.535 0.000
2.267 2.267 5.770
ATOMIC_POSITIONS crystal
Rb 0.000 0.000 0.000
Ga 0.750 0.250 0.500
Ga 0.250 0.750 0.500
Zn 0.376 0.376 0.248
Zn 0.624 0.624 0.752



! Ce5PmRu6, optimized geometry, DFT PBE; values from VASP
! Space group: C2/m (12)
! Energy relative to the elements in eV/atom: -0.292
! Energy in eV per atom: -7.7982
&SYSTEM
  ibrav = 0, nat = 12, ntyp = 3
/
ATOMIC_SPECIES
Ru 101.07 Ru.upf
Pm 145.00 Pm.upf
Ce 140.12 Ce.upf
CELL_PARAMETERS angstrom
-2.183 -1.227 4.409
4.818 -6.159 -2.165
3.720 7.142 0.993
ATOMIC_POSITIONS crystal
Ru 0.282 0.106 0.453
Ru 0.241 0.732 0.732
Ru 0.282 0.453 0.106
Ru 0.718 0.547 0.894
Ru 0.718 0.894 0.547
Ru 0.759 0.268 0.268
Pm 0.000 0.000 0.000
Ce 0.000 0.327 0.673
Ce 0.500 0.500 0.500
Ce 0.500 0.160 0.840
Ce 0.500 0.840 0.160
Ce 0.000 0.673 0.327



V readings, ordered: 171.8, 118.7, 248.1 Å³/cell